No. 1
A relaxed YNbAsO crystal, computed with PBE.

extended XYZ file:
```
8
Lattice="3.834 0.000 0.000 0.000 7.378 0.000 0.000 0.000 5.743" Properties=species:S:1:pos:R:3 pbc="T T T"
As 0.000 2.467 2.623
As 0.000 4.911 5.495
Nb 1.917 0.697 2.790
Nb 1.917 6.680 5.662
O 1.917 6.137 1.965
O 1.917 1.240 4.837
Y 0.000 5.354 2.694
Y 0.000 2.023 5.565
```

Output
- E_tot (eV per atom) = -7.9264
- magnetization (μB/f.u.) = 0.037
- space-group type = Pmc2_1 (26)

---

No. 2
A relaxed YNbAsO crystal, computed with PBE.

extended XYZ file:
```
8
Lattice="-1.868 -3.393 0.862 3.444 -1.956 -0.235 1.425 1.451 8.793" Properties=species:S:1:pos:R:3 pbc="T T T"
As 2.151 -0.542 2.529
As 0.062 -0.682 6.578
Nb 0.712 0.725 4.396
Nb 1.500 -1.949 4.710
O 0.000 0.000 0.000
O 0.788 -2.674 0.314
Y -0.761 -1.521 1.496
Y 2.974 0.297 7.610
```

Output
- E_tot (eV per atom) = -8.4242
- magnetization (μB/f.u.) = 0.059
- space-group type = P4/nmm (129)

---

No. 3
A relaxed YNbAsO crystal, computed with PBE.

extended XYZ file:
```
8
Lattice="4.173 0.000 0.000 0.000 4.969 0.000 0.000 0.000 6.697" Properties=species:S:1:pos:R:3 pbc="T T T"
As 0.000 0.682 1.942
As 0.000 4.287 5.291
Nb 0.000 3.133 2.934
Nb 0.000 1.836 6.283
O 2.087 3.096 2.886
O 2.087 1.872 6.234
Y 2.087 4.045 0.637
Y 2.087 0.924 3.985
```

Output
- E_tot (eV per atom) = -8.1891
- magnetization (μB/f.u.) = 0.010
- space-group type = Pmc2_1 (26)

---

No. 4
A relaxed YNbAsO crystal, computed with PBE.

extended XYZ file:
```
8
Lattice="4.167 0.000 0.000 0.000 4.167 0.000 0.000 0.000 7.829" Properties=species:S:1:pos:R:3 pbc="T T T"
As 0.000 2.084 1.932
As 2.084 0.000 5.897
Nb 2.084 0.000 0.823
Nb 0.000 2.084 7.006
O 0.000 0.000 0.000
O 2.084 2.084 0.000
Y 0.000 0.000 3.915
Y 2.084 2.084 3.915
```

Output
- E_tot (eV per atom) = -7.3188
- magnetization (μB/f.u.) = 0.235
- space-group type = P4/nmm (129)

---

No. 5
A relaxed ZrNbAsO crystal, computed with PBE.

extended XYZ file:
```
8
Lattice="-2.011 -1.387 2.939 -1.720 -2.478 -2.347 6.225 -5.774 1.532" Properties=species:S:1:pos:R:3 pbc="T T T"
As -1.060 -4.512 0.872
As 3.553 -5.128 1.253
Nb 1.174 -4.547 2.384
Nb 1.319 -5.092 -0.259
O -1.938 -1.660 1.618
O -1.793 -2.205 -1.025
Zr -0.064 -1.772 0.362
Zr 2.558 -7.867 1.763
```

Output
- E_tot (eV per atom) = -8.5651
- magnetization (μB/f.u.) = 0.001
- space-group type = P4/nmm (129)

---

No. 6
A relaxed ZrNbAsO crystal, computed with PBE.

extended XYZ file:
```
8
Lattice="4.197 0.000 0.000 0.000 5.054 0.000 0.000 0.000 6.193" Properties=species:S:1:pos:R:3 pbc="T T T"
As 0.000 4.489 1.802
As 0.000 0.565 4.898
Nb 0.000 1.947 2.714
Nb 0.000 3.108 5.811
O 2.099 2.285 2.534
O 2.099 2.770 5.631
Zr 2.099 1.077 0.716
Zr 2.099 3.978 3.812
```

Output
- E_tot (eV per atom) = -8.4831
- magnetization (μB/f.u.) = 0.007
- space-group type = Pmc2_1 (26)

---

No. 7
A relaxed ZrNbAsO crystal, computed with PBE.

extended XYZ file:
```
8
Lattice="-1.051 -2.180 -2.951 0.846 -3.131 2.012 -7.965 -0.222 3.002" Properties=species:S:1:pos:R:3 pbc="T T T"
As -1.654 -1.624 1.789
As -6.414 -1.255 0.744
Nb -1.648 -1.122 -1.053
Nb -6.420 -1.757 3.585
O 0.000 0.000 0.000
O -0.103 -2.656 -0.469
Zr -3.983 -0.111 1.501
Zr -4.085 -2.767 1.031
```

Output
- E_tot (eV per atom) = -7.9679
- magnetization (μB/f.u.) = 0.011
- space-group type = P4/nmm (129)

---

No. 8
A relaxed ZrNbAsO crystal, computed with PBE.

extended XYZ file:
```
8
Lattice="-0.280 1.984 2.903 2.417 -4.414 3.250 5.804 2.388 -1.073" Properties=species:S:1:pos:R:3 pbc="T T T"
As 3.394 -2.243 1.860
As 5.460 0.477 0.200
Nb 1.432 -0.515 2.633
Nb 4.826 -0.220 2.758
O 2.980 0.772 1.902
O 6.954 0.006 2.809
Zr 2.680 0.594 -0.148
Zr 7.544 -1.795 1.954
```

Output
- E_tot (eV per atom) = -8.4556
- magnetization (μB/f.u.) = 0.006
- space-group type = Pmc2_1 (26)

---

No. 9
A relaxed NbAsOs2 crystal, computed with PBE.

extended XYZ file:
```
4
Lattice="0.000 3.150 3.150 3.150 0.000 3.150 3.150 3.150 0.000" Properties=species:S:1:pos:R:3 pbc="T T T"
As 3.150 3.150 3.150
Nb 1.575 1.575 1.575
Os 0.000 0.000 0.000
Os 4.725 4.725 4.725
```

Output
- E_tot (eV per atom) = -8.9580
- magnetization (μB/f.u.) = 0.019
- space-group type = F-43m (216)

---

No. 10
A relaxed Nb2SbAsOs2 crystal, computed with PBE.

extended XYZ file:
```
24
Lattice="-2.071 -1.751 10.258 -2.889 -3.032 -1.101 7.887 -6.368 -3.160" Properties=species:S:1:pos:R:3 pbc="T T T"
As -1.537 -1.329 7.693
As -0.707 -2.541 0.335
As 0.935 -2.460 4.321
As 3.406 -3.608 0.998
Nb -0.475 -0.473 2.549
Nb -1.746 -3.403 5.437
Nb 1.967 -1.596 -0.768
Nb 0.723 -4.542 2.094
Nb 2.366 -4.464 6.084
Nb 3.183 -5.690 -1.199
Nb 4.878 -5.659 2.784
Nb 3.696 -8.671 5.664
Os 0.051 -0.049 0.000
Os -1.205 -2.984 2.864
Os 0.390 -2.862 6.858
Os 1.231 -4.115 -0.415
Os 2.879 -4.020 3.513
Os 1.668 -7.024 6.449
Os 5.347 -5.181 0.236
Os 4.192 -8.228 3.138
Sb -0.316 -5.421 7.242
Sb 2.193 -6.591 3.880
Sb 5.923 -4.788 -2.358
Sb 4.686 -7.751 0.530
```

Output
- E_tot (eV per atom) = -8.8295
- magnetization (μB/f.u.) = 0.001
- space-group type = Pm (6)